Record 1
K2PPd | GGA-PBEsol | optimized geometry

Crystal system: tetragonal
Formation energy, meV per atom: -262
Calculated volume, Å³ per atom: 41.20

Cell lengths 12.227, 12.227, 4.409 Å; angles 90.00, 90.00, 90.00 degrees
Atoms (fractional coordinates):
K (0.010, 0.750, 0.125)
K (0.250, 0.010, 0.875)
K (0.250, 0.490, 0.375)
K (0.490, 0.750, 0.625)
K (0.510, 0.250, 0.625)
K (0.750, 0.510, 0.375)
K (0.750, 0.990, 0.875)
K (0.990, 0.250, 0.125)
P (0.000, 0.000, 0.500)
P (0.000, 0.500, 0.750)
P (0.500, 0.000, 0.250)
P (0.500, 0.500, 0.000)
Pd (0.000, 0.000, 0.000)
Pd (0.000, 0.500, 0.250)
Pd (0.500, 0.000, 0.750)
Pd (0.500, 0.500, 0.500)

***

Record 2
Na2TaMoIr | GGA-PBEsol | optimized geometry

Crystal system: tetragonal
Formation energy, meV per atom: 2508
Calculated volume, Å³ per atom: 23.77

Cell lengths 5.106, 5.106, 4.559 Å; angles 90.00, 90.00, 90.00 degrees
Atoms (fractional coordinates):
Na (0.000, 0.500, 0.000)
Na (0.500, 0.000, 0.000)
Ta (0.000, 0.000, 0.000)
Mo (0.000, 0.000, 0.500)
Ir (0.500, 0.500, 0.500)

***

Record 3
Mg2HgB | GGA-PBEsol | optimized geometry

Crystal system: tetragonal
Formation energy, meV per atom: 700
Calculated volume, Å³ per atom: 19.56

Cell lengths 4.377, 4.377, 16.334 Å; angles 90.00, 90.00, 90.00 degrees
Atoms (fractional coordinates):
Mg (0.198, 0.250, 0.125)
Mg (0.250, 0.698, 0.375)
Mg (0.250, 0.802, 0.875)
Mg (0.302, 0.250, 0.625)
Mg (0.698, 0.750, 0.625)
Mg (0.750, 0.198, 0.875)
Mg (0.750, 0.302, 0.375)
Mg (0.802, 0.750, 0.125)
Hg (0.000, 0.000, 0.500)
Hg (0.000, 0.500, 0.750)
Hg (0.500, 0.000, 0.250)
Hg (0.500, 0.500, 0.000)
B (0.000, 0.000, 0.000)
B (0.000, 0.500, 0.250)
B (0.500, 0.000, 0.750)
B (0.500, 0.500, 0.500)

***

Record 4
Bi2O3 | GGA-PBEsol | optimized geometry

Crystal system: monoclinic
ΔE_f (raw), eV/f.u.: -6.22
Calculated volume, Å³ per atom: 16.13

Cell lengths 5.854, 8.056, 7.379 Å; angles 90.00, 112.06, 90.00 degrees
Atoms (fractional coordinates):
Bi (0.020, 0.190, 0.370)
Bi (0.020, 0.310, 0.870)
Bi (0.460, 0.545, 0.725)
Bi (0.460, 0.955, 0.225)
Bi (0.540, 0.045, 0.775)
Bi (0.540, 0.455, 0.275)
Bi (0.980, 0.690, 0.130)
Bi (0.980, 0.810, 0.630)
O (0.229, 0.534, 0.985)
O (0.229, 0.966, 0.485)
O (0.264, 0.553, 0.378)
O (0.264, 0.947, 0.878)
O (0.277, 0.207, 0.207)
O (0.277, 0.293, 0.707)
O (0.723, 0.707, 0.293)
O (0.723, 0.793, 0.793)
O (0.736, 0.053, 0.122)
O (0.736, 0.447, 0.622)
O (0.771, 0.034, 0.515)
O (0.771, 0.466, 0.015)

***

Record 5
CaLa2Mg | GGA-PBEsol | optimized geometry

Crystal system: orthorhombic
Formation energy, meV per atom: 56
Calculated volume, Å³ per atom: 32.54

Cell lengths 3.836, 5.688, 5.965 Å; angles 90.00, 90.00, 90.00 degrees
Atoms (fractional coordinates):
Ca (0.000, 0.000, 0.000)
La (0.000, 0.500, 0.500)
La (0.500, 0.000, 0.500)
Mg (0.500, 0.500, 0.000)

***

Record 6
Ba3NbAs3O | GGA-PBEsol | optimized geometry

Crystal system: orthorhombic
ΔE_f (raw), eV/f.u.: -11.15
Calculated volume, Å³ per atom: 31.28

Cell lengths 6.713, 11.107, 13.425 Å; angles 90.00, 90.00, 90.00 degrees
Atoms (fractional coordinates):
Ba (0.219, 0.250, 0.125)
Ba (0.242, 0.545, 0.368)
Ba (0.242, 0.955, 0.368)
Ba (0.258, 0.045, 0.868)
Ba (0.258, 0.455, 0.868)
Ba (0.281, 0.750, 0.625)
Ba (0.719, 0.250, 0.375)
Ba (0.742, 0.545, 0.132)
Ba (0.742, 0.955, 0.132)
Ba (0.758, 0.045, 0.632)
Ba (0.758, 0.455, 0.632)
Ba (0.781, 0.750, 0.875)
Nb (0.161, 0.250, 0.545)
Nb (0.339, 0.750, 0.045)
Nb (0.661, 0.250, 0.955)
Nb (0.839, 0.750, 0.455)
As (0.219, 0.250, 0.364)
As (0.235, 0.554, 0.116)
As (0.235, 0.946, 0.116)
As (0.265, 0.054, 0.616)
As (0.265, 0.446, 0.616)
As (0.281, 0.750, 0.864)
As (0.719, 0.250, 0.136)
As (0.735, 0.554, 0.384)
As (0.735, 0.946, 0.384)
As (0.765, 0.054, 0.884)
As (0.765, 0.446, 0.884)
As (0.781, 0.750, 0.636)
O (0.120, 0.750, 0.445)
O (0.380, 0.250, 0.945)
O (0.620, 0.750, 0.055)
O (0.880, 0.250, 0.555)

***

Record 7
NiIr2Rh | GGA-PBEsol | optimized geometry

Crystal system: orthorhombic
Formation energy, meV per atom: 59
Calculated volume, Å³ per atom: 13.14

Cell lengths 5.306, 7.443, 2.662 Å; angles 90.00, 90.00, 90.00 degrees
Atoms (fractional coordinates):
Ni (0.000, 0.000, 0.000)
Ni (0.500, 0.500, 0.000)
Ir (0.250, 0.250, 0.500)
Ir (0.250, 0.750, 0.500)
Ir (0.750, 0.250, 0.500)
Ir (0.750, 0.750, 0.500)
Rh (0.000, 0.500, 0.000)
Rh (0.500, 0.000, 0.000)

***

Record 8
SrTaNO2 | GGA-PBEsol | optimized geometry

Crystal system: tetragonal
ΔE_f (raw), eV/f.u.: -12.21
Calculated volume, Å³ per atom: 12.83

Cell lengths 5.698, 5.698, 5.698 Å; angles 121.20, 121.20, 87.93 degrees
Atoms (fractional coordinates):
Sr (0.250, 0.750, 0.500)
Sr (0.750, 0.250, 0.500)
Ta (0.000, 0.000, 0.000)
Ta (0.500, 0.500, 0.000)
N (0.250, 0.250, 0.000)
N (0.750, 0.750, 0.000)
O (0.199, 0.699, 0.898)
O (0.301, 0.199, 0.500)
O (0.699, 0.801, 0.500)
O (0.801, 0.301, 0.102)

***

Record 9
TaIn2Mo | GGA-PBEsol | optimized geometry

Crystal system: monoclinic
Formation energy, meV per atom: 249
Calculated volume, Å³ per atom: 18.35

Cell lengths 2.899, 4.727, 5.389 Å; angles 90.00, 96.37, 90.00 degrees
Atoms (fractional coordinates):
Ta (0.000, 0.000, 0.000)
In (0.526, 0.000, 0.520)
In (0.616, 0.500, 0.231)
Mo (0.142, 0.500, 0.749)

***

Record 10
CsCo2SnI | GGA-PBEsol | optimized geometry

Crystal system: tetragonal
ΔE_f (raw), eV/f.u.: 9.09
Calculated volume, Å³ per atom: 30.31

Cell lengths 4.785, 4.785, 6.620 Å; angles 90.00, 90.00, 90.00 degrees
Atoms (fractional coordinates):
Cs (0.000, 0.000, 0.000)
Co (0.000, 0.500, 0.000)
Co (0.500, 0.000, 0.000)
Sn (0.500, 0.500, 0.500)
I (0.000, 0.000, 0.500)

***

Record 11
LaInNi5 | GGA-PBEsol | optimized geometry

Crystal system: hexagonal
Formation energy, meV per atom: -299
Calculated volume, Å³ per atom: 14.42

Cell lengths 4.869, 4.869, 19.670 Å; angles 90.00, 90.00, 120.00 degrees
Atoms (fractional coordinates):
La (0.000, 0.000, 0.000)
La (0.000, 0.000, 0.500)
La (0.333, 0.667, 0.250)
La (0.667, 0.333, 0.750)
In (0.333, 0.667, 0.085)
In (0.333, 0.667, 0.415)
In (0.667, 0.333, 0.585)
In (0.667, 0.333, 0.915)
Ni (0.000, 0.000, 0.250)
Ni (0.000, 0.000, 0.750)
Ni (0.166, 0.332, 0.648)
Ni (0.166, 0.332, 0.852)
Ni (0.166, 0.834, 0.648)
Ni (0.166, 0.834, 0.852)
Ni (0.332, 0.166, 0.148)
Ni (0.332, 0.166, 0.352)
Ni (0.333, 0.667, 0.548)
Ni (0.333, 0.667, 0.750)
Ni (0.333, 0.667, 0.952)
Ni (0.667, 0.333, 0.048)
Ni (0.667, 0.333, 0.250)
Ni (0.667, 0.333, 0.452)
Ni (0.668, 0.834, 0.648)
Ni (0.668, 0.834, 0.852)
Ni (0.834, 0.166, 0.148)
Ni (0.834, 0.166, 0.352)
Ni (0.834, 0.668, 0.148)
Ni (0.834, 0.668, 0.352)

***

Record 12
Sc3Pb | GGA-PBEsol | optimized geometry

Crystal system: orthorhombic
Formation energy, meV per atom: -263
Calculated volume, Å³ per atom: 23.13

Cell lengths 3.453, 4.261, 6.288 Å; angles 90.00, 90.00, 90.00 degrees
Atoms (fractional coordinates):
Sc (0.000, 0.000, 0.000)
Sc (0.500, 0.500, 0.245)
Sc (0.500, 0.500, 0.755)
Pb (0.000, 0.000, 0.500)

***

- calculated volume of number 6 (Ba3NbAs3O)?
  31.28 Å³ per atom

***

- Which of these has the lowest calculated volume?
  SrTaNO2